(1)
Na2CdGa4Au3 | GGA-PBE | relaxed

Summary:
Total magnetic moment: 0.000 Bohr magnetons per cell
Uncorrected energy: -2.80 eV per atom
Energy of formation from the pure elements: -0.2458 eV per atom

Cell and atoms, written as CIF:
```
data_Na2CdGa4Au3
_cell_length_a 4.417
_cell_length_b 4.417
_cell_length_c 11.151
_cell_angle_alpha 90.00
_cell_angle_beta 90.00
_cell_angle_gamma 90.00
_space_group_name_H-M_alt 'P 1'
_space_group_IT_number 1
_space_group_name_Hall 'P 1'
loop_
_atom_site_label
_atom_site_fract_x
_atom_site_fract_y
_atom_site_fract_z
Ga1 0.500 0.000 0.643
Ga2 0.000 0.000 0.000
Ga3 0.500 0.500 0.000
Ga4 0.000 0.500 0.357
Na1 0.500 0.000 0.247
Na2 0.000 0.500 0.753
Au1 0.000 0.000 0.500
Au2 0.500 0.000 0.868
Au3 0.000 0.500 0.132
Cd1 0.500 0.500 0.500
```



(2)
Na2CdGa3Au4 | GGA-PBE | relaxed

Summary:
Total magnetic moment: 0.000 Bohr magnetons per cell
Uncorrected energy: -2.86 eV per atom
Energy of formation from the pure elements: -0.2862 eV per atom

Cell and atoms, written as CIF:
```
data_Na2CdGa3Au4
_cell_length_a 4.481
_cell_length_b 4.481
_cell_length_c 10.990
_cell_angle_alpha 90.00
_cell_angle_beta 90.00
_cell_angle_gamma 90.00
_space_group_name_H-M_alt 'P 1'
_space_group_IT_number 1
_space_group_name_Hall 'P 1'
loop_
_atom_site_label
_atom_site_fract_x
_atom_site_fract_y
_atom_site_fract_z
Na1 0.000 0.500 0.761
Na2 0.500 0.000 0.239
Ga1 0.000 0.000 0.500
Ga2 0.500 0.000 0.877
Ga3 0.000 0.500 0.123
Au1 0.000 0.000 0.000
Au2 0.500 0.000 0.648
Au3 0.000 0.500 0.352
Au4 0.500 0.500 0.000
Cd1 0.500 0.500 0.500
```



(3)
NaCd2GaAu | GGA-PBE | relaxed

Summary:
Total magnetic moment: 0.000 Bohr magnetons per cell
Uncorrected energy: -1.89 eV per atom
Energy of formation from the pure elements: -0.0002 eV per atom

Cell and atoms, written as CIF:
```
data_NaCd2GaAu
_cell_length_a 5.345
_cell_length_b 5.345
_cell_length_c 4.931
_cell_angle_alpha 90.00
_cell_angle_beta 90.00
_cell_angle_gamma 90.00
_space_group_name_H-M_alt 'P 1'
_space_group_IT_number 1
_space_group_name_Hall 'P 1'
loop_
_atom_site_label
_atom_site_fract_x
_atom_site_fract_y
_atom_site_fract_z
Ga1 0.000 0.000 0.500
Cd1 0.500 0.000 0.000
Cd2 0.000 0.500 0.000
Au1 0.000 0.000 0.000
Na1 0.500 0.500 0.500
```



(4)
NaCdGa2Au4 | GGA-PBE | relaxed

Summary:
Total magnetic moment: 0.000 Bohr magnetons per cell
Uncorrected energy: -2.86 eV per atom
Energy of formation from the pure elements: -0.1864 eV per atom

Cell and atoms, written as CIF:
```
data_NaCdGa2Au4
_cell_length_a 4.504
_cell_length_b 4.504
_cell_length_c 9.569
_cell_angle_alpha 76.39
_cell_angle_beta 76.39
_cell_angle_gamma 60.00
_space_group_name_H-M_alt 'P 1'
_space_group_IT_number 1
_space_group_name_Hall 'P 1'
loop_
_atom_site_label
_atom_site_fract_x
_atom_site_fract_y
_atom_site_fract_z
Ga1 0.262 0.262 0.214
Ga2 0.738 0.738 0.786
Au1 0.396 0.396 0.813
Au2 0.884 0.884 0.349
Au3 0.116 0.116 0.651
Au4 0.604 0.604 0.187
Cd1 0.500 0.500 0.500
Na1 0.000 0.000 0.000
```